Record 1
Crystalline HfAsAu at its relaxed geometry, computed with PBE-GGA.

a = 3.8169 Å, b = 3.8169 Å, c = 34.7143 Å
α = 90.00°, β = 90.00°, γ = 120.00°
Space group R-3m (No. 166, hexagonal axes)
Inequivalent atoms, fractional coordinates:
Hf 0.0000 0.0000 0.0792 x6
As 0.0000 0.0000 0.2135 x6
Au 0.0000 0.0000 0.3596 x6

ΔH_f (0 K)	-278.5	meV per atom
DOS at the Fermi energy	10.11	states/eV per cell

=====

Record 2
Crystalline Hf2AsAu at its relaxed geometry, computed with PBE-GGA.

a = 7.348 Å, b = 7.348 Å, c = 6.147 Å
α = 90.00°, β = 90.00°, γ = 90.00°
Space group I-42d (No. 122)
Inequivalent atoms, fractional coordinates:
Hf 0.242 0.250 0.125 x8
As 0.000 0.000 0.000 x4
Au 0.000 0.000 0.500 x4

ΔH_f (0 K)	-373.0	meV per atom
DOS at the Fermi energy	14.13	states/eV per cell

=====

Record 3
Crystalline HfAsAu3 at its relaxed geometry, computed with PBE-GGA.

a = 4.829 Å, b = 4.829 Å, c = 4.829 Å
α = 90.00°, β = 90.00°, γ = 90.00°
Space group Pm-3m (No. 221)
Inequivalent atoms, fractional coordinates:
Hf 0.000 0.000 0.000 x1
As 0.500 0.500 0.500 x1
Au 0.000 0.500 0.500 x3

ΔH_f (0 K)	565.5	meV per atom
DOS at the Fermi energy	4.85	states/eV per cell
relative energy among the computed polymorphs	0	meV per atom

=====

Record 4
Crystalline HfAs3Au at its relaxed geometry, computed with PBE-GGA.

a = 5.107 Å, b = 5.107 Å, c = 5.107 Å
α = 90.00°, β = 90.00°, γ = 90.00°
Space group Pm-3m (No. 221)
Inequivalent atoms, fractional coordinates:
Hf 0.000 0.000 0.000 x1
As 0.000 0.000 0.500 x3
Au 0.500 0.500 0.500 x1

ΔH_f (0 K)	433.7	meV per atom
DOS at the Fermi energy	3.75	states/eV per cell
relative energy among the computed polymorphs	0	meV per atom

=====

Record 5
Crystalline HfAsAu3 at its relaxed geometry, computed with PBE-GGA.

a = 5.176 Å, b = 5.176 Å, c = 5.176 Å
α = 90.00°, β = 90.00°, γ = 90.00°
Space group Pm-3m (No. 221)
Inequivalent atoms, fractional coordinates:
Hf 0.000 0.000 0.000 x1
As 0.500 0.500 0.500 x1
Au 0.000 0.000 0.500 x3

ΔH_f (0 K)	922.7	meV per atom
DOS at the Fermi energy	5.26	states/eV per cell
relative energy among the computed polymorphs	357	meV per atom

=====

Record 6
Crystalline LaHfAs3Au at its relaxed geometry, computed with PBE-GGA.

a = 7.779 Å, b = 3.998 Å, c = 9.216 Å
α = 90.00°, β = 105.53°, γ = 90.00°
Space group P2_1/m (No. 11)
Inequivalent atoms, fractional coordinates:
La 0.214 0.250 0.252 x2
Hf 0.319 0.750 0.837 x2
As 0.091 0.250 0.868 x2
As 0.313 0.750 0.537 x2
As 0.437 0.750 0.143 x2
Au 0.119 0.250 0.585 x2

ΔH_f (0 K)	-860.2	meV per atom
DOS at the Fermi energy	4.44	states/eV per cell

=====

Record 7
Crystalline HfMnAsAu2 at its relaxed geometry, computed with PBE-GGA.

a = 4.830 Å, b = 4.830 Å, c = 5.002 Å
α = 90.00°, β = 90.00°, γ = 90.00°
Space group P4/mmm (No. 123)
Inequivalent atoms, fractional coordinates:
Hf 0.000 0.000 0.000 x1
Mn 0.500 0.500 0.000 x1
As 0.000 0.000 0.500 x1
Au 0.000 0.500 0.500 x2

ΔH_f (0 K)	558.5	meV per atom
DOS at the Fermi energy	3.62	states/eV per cell

=====

Record 8
Crystalline HfAsPAu2 at its relaxed geometry, computed with PBE-GGA.

a = 5.165 Å, b = 5.165 Å, c = 5.104 Å
α = 90.00°, β = 90.00°, γ = 90.00°
Space group P4/mmm (No. 123)
Inequivalent atoms, fractional coordinates:
Hf 0.000 0.000 0.000 x1
As 0.000 0.000 0.500 x1
P 0.500 0.500 0.500 x1
Au 0.000 0.500 0.000 x2

ΔH_f (0 K)	979.8	meV per atom
DOS at the Fermi energy	3.30	states/eV per cell

=====

Record 9
Crystalline Hf2AsPbAu at its relaxed geometry, computed with PBE-GGA.

a = 5.041 Å, b = 5.041 Å, c = 4.842 Å
α = 90.00°, β = 90.00°, γ = 90.00°
Space group P4/mmm (No. 123)
Inequivalent atoms, fractional coordinates:
Hf 0.000 0.500 0.000 x2
As 0.000 0.000 0.000 x1
Pb 0.500 0.500 0.500 x1
Au 0.000 0.000 0.500 x1

ΔH_f (0 K)	201.5	meV per atom
DOS at the Fermi energy	3.12	states/eV per cell

=====

Record 10
Crystalline HfAsRh2Au at its relaxed geometry, computed with PBE-GGA.

a = 4.930 Å, b = 4.930 Å, c = 4.544 Å
α = 90.00°, β = 90.00°, γ = 90.00°
Space group P4/mmm (No. 123)
Inequivalent atoms, fractional coordinates:
Hf 0.000 0.000 0.000 x1
As 0.500 0.500 0.000 x1
Rh 0.000 0.500 0.500 x2
Au 0.500 0.500 0.500 x1

ΔH_f (0 K)	1032.0	meV per atom
DOS at the Fermi energy	4.73	states/eV per cell

=====

Record 11
Crystalline HfSc2AsAu at its relaxed geometry, computed with PBE-GGA.

a = 4.975 Å, b = 4.975 Å, c = 4.879 Å
α = 90.00°, β = 90.00°, γ = 90.00°
Space group P4/mmm (No. 123)
Inequivalent atoms, fractional coordinates:
Hf 0.000 0.000 0.000 x1
Sc 0.000 0.500 0.500 x2
As 0.500 0.500 0.500 x1
Au 0.500 0.500 0.000 x1

ΔH_f (0 K)	129.0	meV per atom
DOS at the Fermi energy	6.61	states/eV per cell

=====

Record 12
Crystalline HfAsAu2Se at its relaxed geometry, computed with PBE-GGA.

a = 5.254 Å, b = 5.254 Å, c = 4.983 Å
α = 90.00°, β = 90.00°, γ = 90.00°
Space group P4/mmm (No. 123)
Inequivalent atoms, fractional coordinates:
Hf 0.000 0.000 0.000 x1
As 0.500 0.500 0.500 x1
Au 0.000 0.500 0.000 x2
Se 0.000 0.000 0.500 x1

uncorrected formation energy	0.54	eV per atom
DOS at the Fermi energy	4.81	states/eV per cell
relative energy among the computed polymorphs	0	meV per atom

=====

Record 13
Crystalline HfAsAu2Se at its relaxed geometry, computed with PBE-GGA.

a = 5.196 Å, b = 5.196 Å, c = 5.188 Å
α = 90.00°, β = 90.00°, γ = 90.00°
Space group P4/mmm (No. 123)
Inequivalent atoms, fractional coordinates:
Hf 0.000 0.000 0.000 x1
As 0.000 0.000 0.500 x1
Au 0.000 0.500 0.000 x2
Se 0.500 0.500 0.500 x1

uncorrected formation energy	0.72	eV per atom
DOS at the Fermi energy	7.06	states/eV per cell
relative energy among the computed polymorphs	181	meV per atom

=====

Record 14
Crystalline SrHfAs2Au at its relaxed geometry, computed with PBE-GGA.

a = 5.018 Å, b = 5.018 Å, c = 7.010 Å
α = 90.00°, β = 90.00°, γ = 90.00°
Space group P4/mmm (No. 123)
Inequivalent atoms, fractional coordinates:
Sr 0.000 0.000 0.000 x1
Hf 0.000 0.000 0.500 x1
As 0.000 0.500 0.500 x2
Au 0.500 0.500 0.000 x1

ΔH_f (0 K)	131.5	meV per atom
DOS at the Fermi energy	1.98	states/eV per cell